Density functional theory data (GGA-PBE) for a relaxed structure of UAsOsN.

Properties
ΔE_f (raw) = -2.930 eV per formula unit

Lattice parameters (Å, degrees): 4.037 4.037 7.798 90.00 90.00 90.00
Each line ends with the local moment (μB).
Fractional positions:
U (0.500, 0.000, 0.640)  1.42
U (0.000, 0.500, 0.360)  1.42
As (0.000, 0.500, 0.822)  -0.01
As (0.500, 0.000, 0.178)  -0.01
Os (0.500, 0.500, 0.000)  -0.07
Os (0.000, 0.000, 0.000)  -0.07
N (0.000, 0.000, 0.500)  -0.08
N (0.500, 0.500, 0.500)  -0.08



Density functional theory data (GGA-PBE) for a relaxed structure of ReNi2Se.

Properties
ΔE_f (raw) = 0.887 eV per formula unit

Lattice parameters (Å, degrees): 8.192 8.192 8.192 19.64 19.64 19.64
Fractional positions:
Ni (0.002, 0.002, 0.002)
Ni (0.498, 0.498, 0.498)
Re (0.250, 0.250, 0.250)
Se (0.750, 0.750, 0.750)



Density functional theory data (GGA-PBE) for a relaxed structure of Tl2Cd2Te3.

Properties
ΔE_f (raw) = -2.557 eV per formula unit

Lattice parameters (Å, degrees): 8.058 11.987 11.987 85.18 70.57 70.57
Fractional positions:
Tl (0.926, 0.023, 0.193)
Tl (0.426, 0.193, 0.023)
Tl (0.750, 0.284, 0.716)
Tl (0.750, 0.569, 0.431)
Tl (0.250, 0.431, 0.569)
Tl (0.250, 0.716, 0.284)
Tl (0.574, 0.807, 0.977)
Tl (0.074, 0.977, 0.807)
Cd (0.632, 0.361, 0.203)
Cd (0.614, 0.085, 0.541)
Cd (0.132, 0.203, 0.361)
Cd (0.114, 0.541, 0.085)
Cd (0.886, 0.459, 0.915)
Cd (0.868, 0.797, 0.639)
Cd (0.386, 0.915, 0.459)
Cd (0.368, 0.639, 0.797)
Te (0.732, 0.275, 0.414)
Te (0.716, 0.581, 0.150)
Te (0.232, 0.414, 0.275)
Te (0.216, 0.150, 0.581)
Te (0.837, 0.234, 0.981)
Te (0.163, 0.766, 0.019)
Te (0.784, 0.850, 0.419)
Te (0.768, 0.586, 0.725)
Te (0.337, 0.981, 0.234)
Te (0.284, 0.419, 0.850)
Te (0.268, 0.725, 0.586)
Te (0.663, 0.019, 0.766)



Density functional theory data (GGA-PBE) for a relaxed structure of Nd3CuCl3.

Properties
ΔE_f (raw) = -9.392 eV per formula unit

Lattice parameters (Å, degrees): 10.068 10.068 10.068 109.47 109.47 109.47
Fractional positions:
Nd (0.988, 0.494, 0.244)
Nd (0.506, 0.012, 0.256)
Nd (0.250, 0.006, 0.494)
Nd (0.994, 0.750, 0.006)
Nd (0.994, 0.244, 0.488)
Nd (0.756, 0.006, 0.012)
Nd (0.744, 0.488, 0.494)
Nd (0.756, 0.750, 0.244)
Nd (0.512, 0.256, 0.006)
Nd (0.250, 0.244, 0.256)
Nd (0.744, 0.256, 0.750)
Nd (0.506, 0.494, 0.750)
Cu (0.750, 0.500, 0.000)
Cu (0.500, 0.250, 0.500)
Cu (0.750, 0.250, 0.250)
Cu (0.000, 0.000, 0.250)
Cl (0.245, 0.995, 0.990)
Cl (0.750, 0.755, 0.745)
Cl (0.490, 0.745, 0.995)
Cl (0.005, 0.250, 0.995)
Cl (0.255, 0.745, 0.250)
Cl (0.495, 0.505, 0.250)
Cl (0.245, 0.250, 0.755)
Cl (0.255, 0.510, 0.505)
Cl (0.750, 0.995, 0.505)
Cl (0.010, 0.505, 0.755)
Cl (0.005, 0.755, 0.510)
Cl (0.495, 0.990, 0.745)



Density functional theory data (GGA-PBE) for a relaxed structure of AcIn4Ir2.

Properties
formation energy = -0.267 eV/atom
energy relative to the lowest polymorph listed for this composition = 7.7 kJ/mol of atoms

Lattice parameters (Å, degrees): 4.483 4.469 8.659 104.95 90.00 90.00
Fractional positions:
Ac (0.000, 0.000, 0.000)
In (0.500, 0.829, 0.658)
In (0.000, 0.679, 0.359)
In (0.500, 0.171, 0.342)
In (0.000, 0.321, 0.641)
Ir (0.500, 0.574, 0.147)
Ir (0.500, 0.426, 0.853)



Density functional theory data (GGA-PBE) for a relaxed structure of SnCI2O.

Properties
energy relative to the lowest polymorph listed for this composition = 0.0 kJ/mol of atoms
ΔE_f (raw) = 4.460 eV per formula unit

Lattice parameters (Å, degrees): 6.091 6.091 3.239 90.00 90.00 90.00
Fractional positions:
I (0.000, 0.500, 0.000)
I (0.500, 0.000, 0.000)
C (0.000, 0.000, 0.000)
Sn (0.500, 0.500, 0.500)
O (0.000, 0.000, 0.500)



Density functional theory data (GGA-PBE) for a relaxed structure of TaIrS2.

Properties
energy relative to the lowest polymorph listed for this composition = 52.6 kJ/mol of atoms
ΔE_f (raw) = 0.465 eV per formula unit

Lattice parameters (Å, degrees): 7.913 7.913 7.913 24.18 24.18 24.18
Fractional positions:
S (0.893, 0.893, 0.893)
S (0.107, 0.107, 0.107)
Ir (0.500, 0.500, 0.500)
Ta (0.000, 0.000, 0.000)



Density functional theory data (GGA-PBE) for a relaxed structure of La6Ge2Te3Br.

Properties
ΔE_f (raw) = -16.556 eV per formula unit

Lattice parameters (Å, degrees): 4.480 9.071 10.114 103.46 102.80 90.00
Fractional positions:
La (0.330, 0.893, 0.659)
La (0.672, 0.569, 0.345)
La (0.670, 0.107, 0.341)
La (0.010, 0.258, 0.021)
La (0.990, 0.742, 0.979)
La (0.328, 0.431, 0.655)
Ge (0.834, 0.670, 0.668)
Ge (0.166, 0.330, 0.332)
Te (0.500, 0.500, 0.000)
Te (0.838, 0.166, 0.676)
Te (0.162, 0.834, 0.324)
Br (0.500, 0.000, 0.000)



Density functional theory data (GGA-PBE) for a relaxed structure of Tb3DyBi4.

Properties
formation energy = -0.880 eV/atom
energy relative to the lowest polymorph listed for this composition = 0.0 kJ/mol of atoms

Lattice parameters (Å, degrees): 6.339 6.339 6.339 90.00 90.00 90.00
Fractional positions:
Tb (0.000, 0.500, 0.500)
Tb (0.500, 0.000, 0.500)
Tb (0.500, 0.500, 0.000)
Bi (0.500, 0.000, 0.000)
Bi (0.000, 0.500, 0.000)
Bi (0.000, 0.000, 0.500)
Bi (0.500, 0.500, 0.500)
Dy (0.000, 0.000, 0.000)



Question: Which formula does entry 8 have?
Answer: La6Ge2Te3Br